## Cs2NdAlO4 (PBE-GGA)

Data for a geometry-optimized Cs2NdAlO4 structure.

extended XYZ file:
```
16
Lattice="-3.3015 3.8917 -2.6316 -6.7670 -0.2665 1.8310 0.4733 9.8323 7.6821" Properties=species:S:1:pos:R:3 pbc="T T T"
Cs -0.3048 6.9432 4.3857
Cs -2.5234 6.7809 0.6647
Cs -4.8448 10.5909 6.0792
Cs -6.4011 4.8125 -0.5135
Nd -5.6230 7.7017 2.7828
Nd 0.0000 0.0000 0.0000
Al -3.9722 5.7558 4.0987
Al -1.6508 1.9458 -1.3158
O -6.7487 1.8753 1.1920
O -1.5389 10.0410 6.7317
O -7.9045 12.0547 6.4694
O -2.9981 2.9441 -0.6302
O -5.6412 5.5599 3.4219
O -3.6107 7.4930 3.7332
O -7.3136 9.1045 3.1949
O -2.6248 4.7576 3.4130
```

Values from the calculation:
Space group ... Fddd
Total magnetic moment ... 0.00 μB/cell
Calculated volume ... 446.6 Å³ per cell
ΔE_f (raw) ... -2.179 eV/atom
Electronic total energy ... -0.21811 Ha/atom